1.
Material: CdSiP
Method: DFT, PBE-GGA
State: relaxed

## Properties
Mass density = 4.59 g cm⁻³
D(E_F) = 2.64 states/eV/cell
Crystal system = monoclinic
E = -3.88 eV/atom
SG = Cm (8)
Raw formation energy = 40 meV per atom

abc: 5.652 3.562 12.589
angles: 90.00 102.01 90.00
Atoms (fractional coordinates):
1 Cd 0.789 0.000 0.835
2 Si 0.325 0.000 0.515
3 P 0.924 0.500 0.027
4 Cd 0.296 0.500 0.804
5 Si 0.325 0.500 0.015
6 P 0.924 0.000 0.527
7 Si 0.892 0.000 0.142
8 P 0.478 0.000 0.123
9 Cd 0.789 0.500 0.335
10 P 0.478 0.500 0.623
11 Si 0.892 0.500 0.642
12 Cd 0.296 0.000 0.304

2.
Material: Cd3SiP
Method: DFT, PBE-GGA
State: relaxed

## Properties
Mass density = 5.07 g cm⁻³
D(E_F) = 3.80 states/eV/cell
Crystal system = cubic
E = -2.04 eV/atom
SG = Pm-3m (221)
Raw formation energy = 674 meV per atom

abc: 5.062 5.062 5.062
angles: 90.00 90.00 90.00
Each line ends with the local moment (μB).
Atoms (fractional coordinates):
1 Cd 0.500 0.000 0.000  0.02
2 P 0.500 0.500 0.500  0.47
3 Cd 0.000 0.000 0.500  -0.02
4 Si 0.000 0.000 0.000  0.05
5 Cd 0.000 0.500 0.000  0.01

3.
Material: CdSiP
Method: DFT, PBE-GGA
State: relaxed

## Properties
Mass density = 4.57 g cm⁻³
D(E_F) = 1.31 states/eV/cell
Crystal system = triclinic
E = -3.85 eV/atom
SG = P1 (1)
Raw formation energy = 65 meV per atom

abc: 3.521 5.729 6.444
angles: 73.39 89.97 90.00
Atoms (fractional coordinates):
1 P 0.601 0.364 0.165
2 Cd 0.603 0.065 0.764
3 Si 0.601 0.767 0.159
4 P 0.101 0.798 0.376
5 Si 0.101 0.194 0.402
6 Cd 0.102 0.514 0.789

4.
Material: CdSiP
Method: DFT, PBE-GGA
State: relaxed

## Properties
Mass density = 4.58 g cm⁻³
D(E_F) = 0.86 states/eV/cell
Crystal system = tetragonal
E = -3.77 eV/atom
SG = I4mm (107)
Raw formation energy = 143 meV per atom

abc: 6.167 6.167 6.167
angles: 148.95 148.95 44.48
Atoms (fractional coordinates):
1 Si 0.225 0.225 0.000
2 Cd 0.999 0.999 0.000
3 P 0.776 0.776 0.000

- Look up the mass density of the third one.
  4.57 g cm⁻³

- The highest D(E_F) belongs to which entry?
  Cd3SiP

- Among the records above, which one has the highest E?
  Cd3SiP

- Which of these has the highest mass density?
  Cd3SiP